# 1
{"formula": "K3Li2ScCl8", "functional": "PBE-GGA", "state": "relaxed", "crystal_system": "trigonal", "raw_formation_energy_ev_per_atom": -1.924, "total_magnetization_mub_per_cell": 0.00, "vol_a3_per_fu": 396, "rho_g_cm3": 1.9, "cell": [[7.108, 0.000, 0.000], [-3.554, 6.156, 0.000], [0.000, 0.000, 9.048]], "species": ["K", "K", "K", "Li", "Li", "Sc", "Cl", "Cl", "Cl", "Cl", "Cl", "Cl", "Cl", "Cl"], "frac_coords": [[0.000, 0.000, 0.000], [0.333, 0.667, 0.630], [0.667, 0.333, 0.370], [0.333, 0.667, 0.196], [0.667, 0.333, 0.804], [0.000, 0.000, 0.500], [0.163, 0.326, 0.337], [0.163, 0.837, 0.337], [0.326, 0.163, 0.663], [0.333, 0.667, 0.953], [0.667, 0.333, 0.047], [0.674, 0.837, 0.337], [0.837, 0.163, 0.663], [0.837, 0.674, 0.663]]}

***

# 2
{"formula": "Th2NpCuN5", "functional": "PBE-GGA", "state": "relaxed", "crystal_system": "orthorhombic", "raw_formation_energy_ev_per_atom": -1.015, "total_magnetization_mub_per_cell": 1.95, "vol_a3_per_fu": 125, "rho_g_cm3": 11.1, "cell": [[1.741, -6.871, 0.000], [1.741, 6.871, 0.000], [0.000, 0.000, 10.421]], "species": ["Th", "Th", "Th", "Th", "Np", "Np", "Cu", "Cu", "N", "N", "N", "N", "N", "N", "N", "N", "N", "N"], "frac_coords": [[0.108, 0.892, 0.500], [0.126, 0.874, 0.122], [0.874, 0.126, 0.622], [0.892, 0.108, 0.000], [0.197, 0.803, 0.823], [0.803, 0.197, 0.323], [0.484, 0.516, 0.283], [0.516, 0.484, 0.783], [0.052, 0.948, 0.871], [0.286, 0.714, 0.462], [0.300, 0.700, 0.187], [0.352, 0.648, 0.819], [0.496, 0.504, 0.590], [0.504, 0.496, 0.090], [0.648, 0.352, 0.319], [0.700, 0.300, 0.687], [0.714, 0.286, 0.962], [0.948, 0.052, 0.371]]}

***

# 3
{"formula": "HfIn2Hg", "functional": "PBE-GGA", "state": "relaxed", "crystal_system": "orthorhombic", "energy_ev_per_atom": -3.979, "total_magnetization_mub_per_cell": 0.00, "vol_a3_per_fu": 91, "rho_g_cm3": 11.1, "cell": [[3.151, -4.571, 0.000], [3.151, 4.571, 0.000], [0.000, 0.000, 3.156]], "species": ["Hf", "In", "In", "Hg"], "frac_coords": [[0.000, 0.000, 0.000], [0.000, 0.500, 0.500], [0.500, 0.000, 0.500], [0.500, 0.500, 0.000]]}

***

# 4
{"formula": "MgCoHg2", "functional": "PBE-GGA", "state": "relaxed", "crystal_system": "monoclinic", "energy_ev_per_atom": -2.089, "total_magnetization_mub_per_cell": 1.28, "vol_a3_per_fu": 76, "rho_g_cm3": 10.6, "cell": [[4.565, -1.568, 0.000], [4.565, 1.568, 0.000], [-1.088, 0.000, 5.284]], "species": ["Mg", "Co", "Hg", "Hg"], "frac_coords": [[0.000, 0.000, 0.000], [0.500, 0.500, 0.500], [0.241, 0.241, 0.733], [0.759, 0.759, 0.267]]}

***

# 5
{"formula": "ZnCo2Au2", "functional": "PBE-GGA", "state": "relaxed", "crystal_system": "tetragonal", "energy_ev_per_atom": -4.204, "total_magnetization_mub_per_cell": 5.59, "vol_a3_per_fu": 75, "rho_g_cm3": 12.7, "cell": [[6.239, 0.000, 0.000], [0.000, 6.239, 0.000], [0.000, 0.000, 3.877]], "species": ["Zn", "Zn", "Co", "Co", "Co", "Co", "Au", "Au", "Au", "Au"], "frac_coords": [[0.000, 0.000, 0.000], [0.500, 0.500, 0.000], [0.126, 0.374, 0.000], [0.374, 0.874, 0.000], [0.626, 0.126, 0.000], [0.874, 0.626, 0.000], [0.173, 0.673, 0.500], [0.327, 0.173, 0.500], [0.673, 0.827, 0.500], [0.827, 0.327, 0.500]]}

***

# 6
{"formula": "TbSm2BiC", "functional": "PBE-GGA", "state": "relaxed", "crystal_system": "tetragonal", "energy_ev_per_atom": -5.930, "total_magnetization_mub_per_cell": 0.00, "vol_a3_per_fu": 127, "rho_g_cm3": 8.9, "cell": [[5.063, 0.000, 0.000], [0.000, 5.063, 0.000], [0.000, 0.000, 4.939]], "species": ["Tb", "Sm", "Sm", "Bi", "C"], "frac_coords": [[0.000, 0.000, 0.000], [0.000, 0.500, 0.500], [0.500, 0.000, 0.500], [0.500, 0.500, 0.000], [0.000, 0.000, 0.500]]}

***

# 7
{"formula": "Te2IrBr", "functional": "PBE-GGA", "state": "relaxed", "crystal_system": "monoclinic", "raw_formation_energy_ev_per_atom": -0.224, "total_magnetization_mub_per_cell": 0.00, "vol_a3_per_fu": 107, "rho_g_cm3": 8.2, "cell": [[6.021, 0.000, 0.000], [0.000, 3.897, 0.000], [-2.243, 0.000, 9.100]], "species": ["Te", "Te", "Te", "Te", "Ir", "Ir", "Br", "Br"], "frac_coords": [[0.007, 0.250, 0.218], [0.446, 0.750, 0.137], [0.554, 0.250, 0.863], [0.993, 0.750, 0.782], [0.181, 0.250, 0.977], [0.819, 0.750, 0.023], [0.301, 0.750, 0.591], [0.699, 0.250, 0.409]]}

***

# 8
{"formula": "SrCrCo3", "functional": "PBE-GGA", "state": "relaxed", "crystal_system": "cubic", "energy_ev_per_atom": -5.794, "total_magnetization_mub_per_cell": 0.06, "vol_a3_per_fu": 83, "rho_g_cm3": 6.3, "cell": [[4.367, 0.000, 0.000], [0.000, 4.367, 0.000], [0.000, 0.000, 4.367]], "species": ["Sr", "Cr", "Co", "Co", "Co"], "frac_coords": [[0.000, 0.000, 0.000], [0.500, 0.500, 0.500], [0.000, 0.500, 0.500], [0.500, 0.000, 0.500], [0.500, 0.500, 0.000]]}

***

# 9
{"formula": "Y7Er4Tm", "functional": "PBE-GGA", "state": "relaxed", "crystal_system": "monoclinic", "energy_ev_per_atom": -5.415, "total_magnetization_mub_per_cell": 0.63, "vol_a3_per_fu": 388, "rho_g_cm3": 6.2, "cell": [[8.001, -2.926, 0.000], [8.001, 2.926, 0.000], [-4.208, 0.000, 8.286]], "species": ["Y", "Y", "Y", "Y", "Y", "Y", "Y", "Er", "Er", "Er", "Er", "Tm"], "frac_coords": [[0.000, 0.000, 0.000], [0.288, 0.288, 0.122], [0.290, 0.290, 0.767], [0.420, 0.420, 0.561], [0.580, 0.580, 0.439], [0.710, 0.710, 0.233], [0.712, 0.712, 0.878], [0.073, 0.073, 0.699], [0.173, 0.173, 0.386], [0.827, 0.827, 0.614], [0.927, 0.927, 0.301], [0.500, 0.500, 0.000]]}

***

# 10
{"formula": "Ca2ReTc", "functional": "PBE-GGA", "state": "relaxed", "crystal_system": "monoclinic", "energy_ev_per_atom": -6.437, "total_magnetization_mub_per_cell": 0.00, "vol_a3_per_fu": 118, "rho_g_cm3": 5.1, "cell": [[3.602, -2.080, 0.000], [3.602, 2.080, 0.000], [-2.464, 0.000, 7.887]], "species": ["Ca", "Ca", "Re", "Tc"], "frac_coords": [[0.000, 0.000, 0.000], [0.185, 0.185, 0.540], [0.432, 0.432, 0.289], [0.752, 0.752, 0.250]]}

***

# 11
{"formula": "Ca2BiP", "functional": "PBE-GGA", "state": "relaxed", "crystal_system": "tetragonal", "energy_ev_per_atom": -3.973, "total_magnetization_mub_per_cell": 0.00, "vol_a3_per_fu": 114, "rho_g_cm3": 4.7, "cell": [[-4.150, 4.150, 3.313], [4.150, -4.150, 3.313], [4.150, 4.150, -3.313]], "species": ["Ca", "Ca", "Ca", "Ca", "Bi", "Bi", "P", "P"], "frac_coords": [[0.075, 0.625, 0.950], [0.375, 0.325, 0.450], [0.675, 0.125, 0.050], [0.875, 0.925, 0.550], [0.250, 0.750, 0.500], [0.500, 0.500, 0.000], [0.000, 0.000, 0.000], [0.750, 0.250, 0.500]]}

***

# 12
{"formula": "BaHCl3", "functional": "PBE-GGA", "state": "relaxed", "crystal_system": "cubic", "energy_ev_per_atom": -3.333, "total_magnetization_mub_per_cell": 0.00, "vol_a3_per_fu": 106, "rho_g_cm3": 3.8, "cell": [[4.735, 0.000, 0.000], [0.000, 4.735, 0.000], [0.000, 0.000, 4.735]], "species": ["Ba", "H", "Cl", "Cl", "Cl"], "frac_coords": [[0.000, 0.000, 0.000], [0.500, 0.500, 0.500], [0.000, 0.500, 0.500], [0.500, 0.000, 0.500], [0.500, 0.500, 0.000]]}

***

# 13
{"formula": "Tl2TePd", "functional": "PBE-GGA", "state": "relaxed", "crystal_system": "tetragonal", "raw_formation_energy_ev_per_atom": 0.043, "total_magnetization_mub_per_cell": 0.00, "vol_a3_per_fu": 130, "rho_g_cm3": 8.2, "cell": [[-3.738, 3.738, 4.650], [3.738, -3.738, 4.650], [3.738, 3.738, -4.650]], "species": ["Tl", "Tl", "Tl", "Tl", "Te", "Te", "Pd", "Pd"], "frac_coords": [[0.089, 0.625, 0.964], [0.375, 0.339, 0.464], [0.661, 0.125, 0.036], [0.875, 0.911, 0.536], [0.250, 0.750, 0.500], [0.500, 0.500, 0.000], [0.000, 0.000, 0.000], [0.750, 0.250, 0.500]]}

***

# 14
{"formula": "NbTlBi2", "functional": "PBE-GGA", "state": "relaxed", "crystal_system": "tetragonal", "energy_ev_per_atom": -4.479, "total_magnetization_mub_per_cell": 0.00, "vol_a3_per_fu": 165, "rho_g_cm3": 7.2, "cell": [[-3.496, 3.496, 6.747], [3.496, -3.496, 6.747], [3.496, 3.496, -6.747]], "species": ["Nb", "Nb", "Tl", "Tl", "Bi", "Bi", "Bi", "Bi"], "frac_coords": [[0.000, 0.000, 0.000], [0.750, 0.250, 0.500], [0.250, 0.750, 0.500], [0.500, 0.500, 0.000], [0.057, 0.625, 0.932], [0.375, 0.307, 0.432], [0.693, 0.125, 0.068], [0.875, 0.943, 0.568]]}

***

# 15
{"formula": "K2HoAuO4", "functional": "PBE-GGA", "state": "relaxed", "crystal_system": "orthorhombic", "raw_formation_energy_ev_per_atom": -1.368, "total_magnetization_mub_per_cell": 0.00, "vol_a3_per_fu": 257, "rho_g_cm3": 3.3, "cell": [[0.000, 7.182, 11.525], [3.105, 0.000, 11.525], [3.105, 7.182, 0.000]], "species": ["K", "K", "K", "K", "Ho", "Ho", "Au", "Au", "O", "O", "O", "O", "O", "O", "O", "O"], "frac_coords": [[0.072, 0.072, 0.678], [0.322, 0.322, 0.928], [0.678, 0.678, 0.072], [0.928, 0.928, 0.322], [0.125, 0.125, 0.125], [0.875, 0.875, 0.875], [0.375, 0.375, 0.375], [0.625, 0.625, 0.625], [0.037, 0.712, 0.514], [0.237, 0.514, 0.712], [0.288, 0.963, 0.763], [0.486, 0.763, 0.963], [0.514, 0.237, 0.037], [0.712, 0.037, 0.237], [0.763, 0.486, 0.288], [0.963, 0.288, 0.486]]}

***

# 16
{"formula": "Er6Si2TeS3", "functional": "PBE-GGA", "state": "relaxed", "crystal_system": "monoclinic", "raw_formation_energy_ev_per_atom": -1.455, "total_magnetization_mub_per_cell": 0.00, "vol_a3_per_fu": 279, "rho_g_cm3": 7.6, "cell": [[8.750, -2.014, 0.000], [8.750, 2.014, 0.000], [-1.737, 0.000, 7.919]], "species": ["Er", "Er", "Er", "Er", "Er", "Er", "Si", "Si", "Te", "S", "S", "S"], "frac_coords": [[0.005, 0.005, 0.278], [0.324, 0.324, 0.900], [0.332, 0.332, 0.418], [0.668, 0.668, 0.582], [0.676, 0.676, 0.100], [0.995, 0.995, 0.722], [0.167, 0.167, 0.335], [0.833, 0.833, 0.665], [0.500, 0.500, 0.000], [0.163, 0.163, 0.836], [0.500, 0.500, 0.500], [0.837, 0.837, 0.164]]}

***

# 17
{"formula": "YOsBr", "functional": "PBE-GGA", "state": "relaxed", "crystal_system": "cubic", "raw_formation_energy_ev_per_atom": 0.486, "total_magnetization_mub_per_cell": 0.00, "vol_a3_per_fu": 68, "rho_g_cm3": 8.7, "cell": [[0.000, 3.245, 3.245], [3.245, 0.000, 3.245], [3.245, 3.245, 0.000]], "species": ["Y", "Os", "Br"], "frac_coords": [[0.000, 0.000, 0.000], [0.750, 0.750, 0.750], [0.500, 0.500, 0.500]]}

***

# 18
{"formula": "Cu3GePd6", "functional": "PBE-GGA", "state": "relaxed", "crystal_system": "monoclinic", "energy_ev_per_atom": -4.933, "total_magnetization_mub_per_cell": 0.00, "vol_a3_per_fu": 149, "rho_g_cm3": 10.1, "cell": [[7.330, 0.000, 0.000], [0.000, 5.319, 0.000], [-7.326, 0.000, 7.623]], "species": ["Cu", "Cu", "Cu", "Cu", "Cu", "Cu", "Ge", "Ge", "Pd", "Pd", "Pd", "Pd", "Pd", "Pd", "Pd", "Pd", "Pd", "Pd", "Pd", "Pd"], "frac_coords": [[0.000, 0.000, 0.000], [0.000, 0.500, 0.500], [0.257, 0.227, 0.748], [0.257, 0.273, 0.248], [0.743, 0.727, 0.752], [0.743, 0.773, 0.252], [0.500, 0.000, 0.500], [0.500, 0.500, 0.000], [0.102, 0.734, 0.253], [0.102, 0.766, 0.753], [0.239, 0.598, 0.062], [0.239, 0.902, 0.562], [0.389, 0.102, 0.058], [0.389, 0.398, 0.558], [0.611, 0.602, 0.442], [0.611, 0.898, 0.942], [0.761, 0.098, 0.438], [0.761, 0.402, 0.938], [0.898, 0.234, 0.247], [0.898, 0.266, 0.747]]}

***

# 19
{"formula": "KInN2", "functional": "PBE-GGA", "state": "relaxed", "crystal_system": "trigonal", "raw_formation_energy_ev_per_atom": 0.938, "total_magnetization_mub_per_cell": 2.00, "vol_a3_per_fu": 77, "rho_g_cm3": 3.9, "cell": [[1.767, 1.020, 7.154], [-1.767, 1.020, 7.154], [0.000, -2.040, 7.154]], "species": ["K", "In", "N", "N"], "frac_coords": [[0.000, 0.000, 0.000], [0.500, 0.500, 0.500], [0.118, 0.118, 0.118], [0.882, 0.882, 0.882]]}

***

# 20
{"formula": "PtI2O2", "functional": "PBE-GGA", "state": "relaxed", "crystal_system": "tetragonal", "raw_formation_energy_ev_per_atom": 0.969, "total_magnetization_mub_per_cell": 0.48, "vol_a3_per_fu": 88, "rho_g_cm3": 9.1, "cell": [[4.858, 0.000, 0.000], [0.000, 4.858, 0.000], [0.000, 0.000, 3.736]], "species": ["Pt", "I", "I", "O", "O"], "frac_coords": [[0.000, 0.000, 0.000], [0.000, 0.500, 0.500], [0.500, 0.000, 0.500], [0.500, 0.500, 0.000], [0.500, 0.500, 0.500]]}

***

# 21
{"formula": "CsRbTc3", "functional": "PBE-GGA", "state": "relaxed", "crystal_system": "cubic", "energy_ev_per_atom": -3.611, "total_magnetization_mub_per_cell": 6.93, "vol_a3_per_fu": 140, "rho_g_cm3": 6.1, "cell": [[5.192, 0.000, 0.000], [0.000, 5.192, 0.000], [0.000, 0.000, 5.192]], "species": ["Cs", "Rb", "Tc", "Tc", "Tc"], "frac_coords": [[0.000, 0.000, 0.000], [0.500, 0.500, 0.500], [0.000, 0.000, 0.500], [0.000, 0.500, 0.000], [0.500, 0.000, 0.000]]}

***

# 22
{"formula": "NdUS2", "functional": "PBE-GGA", "state": "relaxed", "crystal_system": "trigonal", "raw_formation_energy_ev_per_atom": -1.670, "total_magnetization_mub_per_cell": 2.62, "vol_a3_per_fu": 89, "rho_g_cm3": 8.4, "cell": [[1.970, 1.138, 6.592], [-1.970, 1.138, 6.592], [0.000, -2.275, 6.592]], "species": ["Nd", "U", "S", "S"], "frac_coords": [[0.000, 0.000, 0.000], [0.500, 0.500, 0.500], [0.246, 0.246, 0.246], [0.754, 0.754, 0.754]]}

***

# 23
{"formula": "Sn4Sb5Pb", "functional": "PBE-GGA", "state": "relaxed", "crystal_system": "trigonal", "raw_formation_energy_ev_per_atom": 0.077, "total_magnetization_mub_per_cell": 0.00, "vol_a3_per_fu": 414, "rho_g_cm3": 5.2, "cell": [[4.453, 0.000, 0.000], [-2.226, 3.856, 0.000], [0.000, 0.000, 48.179]], "species": ["Sn", "Sn", "Sn", "Sn", "Sn", "Sn", "Sn", "Sn", "Sb", "Sb", "Sb", "Sb", "Sb", "Sb", "Sb", "Sb", "Sb", "Sb", "Pb", "Pb"], "frac_coords": [[0.000, 0.000, 0.000], [0.000, 0.000, 0.198], [0.000, 0.000, 0.397], [0.333, 0.667, 0.089], [0.333, 0.667, 0.287], [0.333, 0.667, 0.486], [0.333, 0.667, 0.687], [0.333, 0.667, 0.889], [0.000, 0.000, 0.116], [0.000, 0.000, 0.315], [0.000, 0.000, 0.514], [0.000, 0.000, 0.715], [0.000, 0.000, 0.917], [0.333, 0.667, 0.029], [0.333, 0.667, 0.228], [0.333, 0.667, 0.426], [0.333, 0.667, 0.628], [0.333, 0.667, 0.830], [0.000, 0.000, 0.597], [0.000, 0.000, 0.799]]}